! Li7Ti16O32 meta-GGA SCAN single point on PBEsol structure; values from VASP
! N(E_F): 0.270 states/eV/atom
! energy relative to the elements, uncorrected: -3114 meV/atom
&SYSTEM
  ibrav = 0, nat = 55, ntyp = 3
/
ATOMIC_SPECIES
Ti 47.87 Ti.upf
O 16.00 O.upf
Li 6.94 Li.upf
CELL_PARAMETERS angstrom
5.0317 -0.0013 -0.0008
-0.0168 11.2658 0.0022
-0.0168 5.1976 9.9952
ATOMIC_POSITIONS crystal
Ti 0.0250 0.7405 0.7405
Ti 0.4866 0.9928 0.9928
Ti 0.4786 0.7425 0.2397
Ti 0.5071 0.0109 0.2575
Ti 0.5207 0.7584 0.5060
Ti 0.0261 0.4872 0.9987
Ti 0.4699 0.4908 0.4908
Ti 0.4786 0.2397 0.7425
Ti 0.0261 0.9987 0.4872
Ti 0.9903 0.0038 0.7612
Ti 0.5071 0.2575 0.0109
Ti 0.9697 0.5105 0.2495
Ti 0.5207 0.5060 0.7584
Ti 0.9903 0.7612 0.0038
Ti 0.9965 0.2408 0.2408
Ti 0.9697 0.2495 0.5105
O 0.1957 0.1730 0.4166
O 0.7916 0.5816 0.8305
O 0.7976 0.3299 0.0714
O 0.3029 0.6687 0.4203
O 0.7972 0.5842 0.0778
O 0.3031 0.9195 0.1719
O 0.2067 0.4188 0.4188
O 0.3029 0.4203 0.6687
O 0.7106 0.5788 0.3327
O 0.7103 0.8283 0.3316
O 0.3020 0.9200 0.4283
O 0.1957 0.4166 0.1730
O 0.7126 0.5804 0.5804
O 0.3031 0.1719 0.9195
O 0.7869 0.8304 0.8304
O 0.7976 0.0714 0.3299
O 0.7103 0.3316 0.8283
O 0.1957 0.1764 0.6714
O 0.7195 0.8310 0.0825
O 0.1957 0.6714 0.1764
O 0.7972 0.0778 0.5842
O 0.1975 0.9173 0.6709
O 0.2098 0.9242 0.9242
O 0.7106 0.3327 0.5788
O 0.7195 0.0825 0.8310
O 0.7929 0.3317 0.3317
O 0.1975 0.6709 0.9173
O 0.3031 0.6730 0.6730
O 0.7916 0.8305 0.5816
O 0.2930 0.1747 0.1747
O 0.3020 0.4283 0.9200
O 0.7102 0.0810 0.0810
Li 0.5643 0.6631 0.9244
Li 0.9369 0.9217 0.1748
Li 0.9368 0.6685 0.4198
Li 0.4262 0.3288 0.3288
Li 0.9368 0.4198 0.6685
Li 0.5643 0.9244 0.6631
Li 0.9369 0.1748 0.9217

! Li4Ti5O12 meta-GGA SCAN single point on PBEsol structure; values from VASP
! N(E_F): 0.000 states/eV/atom
! energy relative to the elements, uncorrected: -3034 meV/atom
&SYSTEM
  ibrav = 0, nat = 42, ntyp = 3
/
ATOMIC_SPECIES
O 16.00 O.upf
Li 6.94 Li.upf
Ti 47.87 Ti.upf
CELL_PARAMETERS angstrom
-2.7555 -2.7747 -3.4514
3.1859 -8.5676 1.7235
-6.5407 -4.3005 5.8344
ATOMIC_POSITIONS crystal
O 0.0519 0.2629 0.3039
O 0.3128 0.2614 0.5674
O 0.6488 0.8996 0.9108
O 0.8574 0.0699 0.6210
O 0.8418 0.2689 0.0471
O 0.5284 0.2691 0.8150
O 0.4716 0.7309 0.1850
O 0.6062 0.0721 0.3445
O 0.1582 0.7311 0.9529
O 0.9481 0.7371 0.6961
O 0.3938 0.9279 0.6555
O 0.0596 0.4251 0.7773
O 0.3512 0.1004 0.0892
O 0.4586 0.5768 0.7296
O 0.7372 0.4302 0.5152
O 0.2368 0.4231 0.0119
O 0.5414 0.4232 0.2704
O 0.1426 0.9301 0.3790
O 0.1025 0.0982 0.8619
O 0.2628 0.5698 0.4848
O 0.8975 0.9018 0.1381
O 0.9404 0.5749 0.2227
O 0.6872 0.7386 0.4326
O 0.7632 0.5769 0.9881
Li 0.2715 0.9052 0.0229
Li 0.8762 0.5879 0.5954
Li 0.6882 0.2254 0.4456
Li 0.3118 0.7746 0.5544
Li 0.1238 0.4121 0.4046
Li 0.3309 0.5739 0.1135
Li 0.7285 0.0948 0.9771
Li 0.6691 0.4261 0.8865
Ti 0.2907 0.1019 0.2760
Ti 0.5683 0.5893 0.3540
Ti 0.7093 0.8981 0.7240
Ti 0.1598 0.0989 0.6745
Ti 0.4317 0.4107 0.6460
Ti 0.8402 0.9011 0.3255
Ti 0.8085 0.7432 0.0660
Ti 0.8612 0.4041 0.1512
Ti 0.1915 0.2568 0.9340
Ti 0.1388 0.5959 0.8488

! Li8TiO6 meta-GGA SCAN single point on PBEsol structure; values from VASP
! N(E_F): 0.000 states/eV/atom
! energy relative to the elements, uncorrected: -2366 meV/atom
&SYSTEM
  ibrav = 0, nat = 30, ntyp = 3
/
ATOMIC_SPECIES
Ti 47.87 Ti.upf
Li 6.94 Li.upf
O 16.00 O.upf
CELL_PARAMETERS angstrom
5.5161 0.0000 0.0000
-2.7581 4.7771 0.0000
0.0000 0.0000 10.7466
ATOMIC_POSITIONS crystal
Ti 0.0000 0.0000 0.0031
Ti 0.0000 0.0000 0.5031
Li 0.0000 0.3131 0.7317
Li 0.3333 0.6667 0.5937
Li 0.4018 0.0000 0.3727
Li 0.6869 0.0000 0.2317
Li 0.6667 0.3333 0.0937
Li 0.0000 0.4018 0.3727
Li 0.3131 0.3131 0.2317
Li 0.5982 0.0000 0.8727
Li 0.0000 0.5982 0.8727
Li 0.6869 0.6869 0.7317
Li 0.4018 0.4018 0.8727
Li 0.3131 0.0000 0.7317
Li 0.6667 0.3333 0.5937
Li 0.5982 0.5982 0.3727
Li 0.3333 0.6667 0.0937
Li 0.0000 0.6869 0.2317
O 0.3333 0.6667 0.2839
O 0.6667 0.3333 0.7839
O 0.0000 0.0000 0.3315
O 0.3147 0.0000 0.5505
O 0.0000 0.3147 0.5505
O 0.3147 0.3147 0.0505
O 0.6853 0.0000 0.0505
O 0.0000 0.6853 0.0505
O 0.0000 0.0000 0.8315
O 0.3333 0.6667 0.7839
O 0.6853 0.6853 0.5505
O 0.6667 0.3333 0.2839

! Li4Ti5O12 meta-GGA SCAN single point on PBEsol structure; values from VASP
! N(E_F): 0.000 states/eV/atom
! energy relative to the elements, uncorrected: -3070 meV/atom
&SYSTEM
  ibrav = 0, nat = 42, ntyp = 3
/
ATOMIC_SPECIES
O 16.00 O.upf
Ti 47.87 Ti.upf
Li 6.94 Li.upf
CELL_PARAMETERS angstrom
5.8833 0.0039 -0.0069
0.0205 5.8832 -0.0069
2.8938 2.8856 12.4911
ATOMIC_POSITIONS crystal
O 0.0612 0.0865 0.3279
O 0.2760 0.7417 0.9871
O 0.5831 0.6020 0.8418
O 0.0484 0.5877 0.3311
O 0.5877 0.0484 0.8311
O 0.3818 0.9109 0.6767
O 0.2592 0.2608 0.5104
O 0.4123 0.9516 0.1689
O 0.7417 0.2760 0.4871
O 0.0891 0.6182 0.8233
O 0.7392 0.7408 0.9896
O 0.9109 0.3818 0.1767
O 0.0865 0.0612 0.8279
O 0.7408 0.7392 0.4896
O 0.6020 0.5831 0.3418
O 0.4169 0.3980 0.1582
O 0.6182 0.0891 0.3233
O 0.3980 0.4169 0.6582
O 0.2583 0.7240 0.5129
O 0.9388 0.9135 0.6721
O 0.7240 0.2583 0.0129
O 0.2608 0.2592 0.0104
O 0.9135 0.9388 0.1721
O 0.9516 0.4123 0.6689
Ti 0.6639 0.1566 0.1626
Ti 0.1688 0.1626 0.1567
Ti 0.8434 0.3361 0.3374
Ti 0.3361 0.8434 0.8374
Ti 0.5000 0.5000 0.5000
Ti 0.8374 0.8312 0.3433
Ti 0.5000 0.5000 0.0000
Ti 0.8312 0.8374 0.8433
Ti 0.1626 0.1688 0.6567
Ti 0.1566 0.6639 0.6626
Li 0.5000 0.0000 0.0000
Li 0.0364 0.3021 0.9164
Li 0.6275 0.3725 0.7500
Li 0.9636 0.6979 0.0836
Li 0.0000 0.5000 0.5000
Li 0.3021 0.0364 0.4164
Li 0.6979 0.9636 0.5836
Li 0.3725 0.6275 0.2500

! LiTi2O4 meta-GGA SCAN single point on PBEsol structure; values from VASP
! N(E_F): 0.236 states/eV/atom
! energy relative to the elements, uncorrected: -3012 meV/atom
&SYSTEM
  ibrav = 0, nat = 14, ntyp = 3
/
ATOMIC_SPECIES
Li 6.94 Li.upf
O 16.00 O.upf
Ti 47.87 Ti.upf
CELL_PARAMETERS angstrom
-1.6624 3.5422 -3.2243
0.5498 -3.2771 -4.0562
-5.5323 -1.8895 0.7766
ATOMIC_POSITIONS crystal
Li 0.6981 0.5606 0.2500
Li 0.3019 0.4394 0.7500
O 0.3493 0.7962 0.2500
O 0.8387 0.7990 0.0105
O 0.6507 0.2038 0.7500
O 0.1613 0.2010 0.5105
O 0.3376 0.7982 0.7500
O 0.6624 0.2018 0.2500
O 0.8387 0.7990 0.4895
O 0.1613 0.2010 0.9895
Ti 0.5000 0.0000 0.5000
Ti 0.0194 0.0130 0.2500
Ti 0.9806 0.9870 0.7500
Ti 0.5000 0.0000 0.0000

! LiTi2O4 meta-GGA SCAN single point on PBEsol structure; values from VASP
! N(E_F): 0.297 states/eV/atom
! energy relative to the elements, uncorrected: -3089 meV/atom
&SYSTEM
  ibrav = 0, nat = 14, ntyp = 3
/
ATOMIC_SPECIES
O 16.00 O.upf
Li 6.94 Li.upf
Ti 47.87 Ti.upf
CELL_PARAMETERS angstrom
-1.5011 -1.5322 -1.9745
3.1374 -3.8957 0.6378
-5.6991 -3.4429 7.0045
ATOMIC_POSITIONS crystal
O 0.5000 0.0499 0.7221
O 0.0000 0.0538 0.4646
O 0.5000 0.9501 0.2221
O 0.5000 0.4639 0.5353
O 0.0000 0.5342 0.7870
O 0.0000 0.9462 0.9646
O 0.5000 0.5361 0.0353
O 0.0000 0.4658 0.2870
Li 0.0000 0.6879 0.4644
Li 0.0000 0.3121 0.9644
Ti 0.5000 0.7709 0.8569
Ti 0.5000 0.2291 0.3569
Ti 0.0000 0.2654 0.6385
Ti 0.0000 0.7346 0.1385

Please write out number 1 again, unchanged.
! Li7Ti16O32 meta-GGA SCAN single point on PBEsol structure; values from VASP
! N(E_F): 0.270 states/eV/atom
! energy relative to the elements, uncorrected: -3114 meV/atom
&SYSTEM
  ibrav = 0, nat = 55, ntyp = 3
/
ATOMIC_SPECIES
Ti 47.87 Ti.upf
O 16.00 O.upf
Li 6.94 Li.upf
CELL_PARAMETERS angstrom
5.0317 -0.0013 -0.0008
-0.0168 11.2658 0.0022
-0.0168 5.1976 9.9952
ATOMIC_POSITIONS crystal
Ti 0.0250 0.7405 0.7405
Ti 0.4866 0.9928 0.9928
Ti 0.4786 0.7425 0.2397
Ti 0.5071 0.0109 0.2575
Ti 0.5207 0.7584 0.5060
Ti 0.0261 0.4872 0.9987
Ti 0.4699 0.4908 0.4908
Ti 0.4786 0.2397 0.7425
Ti 0.0261 0.9987 0.4872
Ti 0.9903 0.0038 0.7612
Ti 0.5071 0.2575 0.0109
Ti 0.9697 0.5105 0.2495
Ti 0.5207 0.5060 0.7584
Ti 0.9903 0.7612 0.0038
Ti 0.9965 0.2408 0.2408
Ti 0.9697 0.2495 0.5105
O 0.1957 0.1730 0.4166
O 0.7916 0.5816 0.8305
O 0.7976 0.3299 0.0714
O 0.3029 0.6687 0.4203
O 0.7972 0.5842 0.0778
O 0.3031 0.9195 0.1719
O 0.2067 0.4188 0.4188
O 0.3029 0.4203 0.6687
O 0.7106 0.5788 0.3327
O 0.7103 0.8283 0.3316
O 0.3020 0.9200 0.4283
O 0.1957 0.4166 0.1730
O 0.7126 0.5804 0.5804
O 0.3031 0.1719 0.9195
O 0.7869 0.8304 0.8304
O 0.7976 0.0714 0.3299
O 0.7103 0.3316 0.8283
O 0.1957 0.1764 0.6714
O 0.7195 0.8310 0.0825
O 0.1957 0.6714 0.1764
O 0.7972 0.0778 0.5842
O 0.1975 0.9173 0.6709
O 0.2098 0.9242 0.9242
O 0.7106 0.3327 0.5788
O 0.7195 0.0825 0.8310
O 0.7929 0.3317 0.3317
O 0.1975 0.6709 0.9173
O 0.3031 0.6730 0.6730
O 0.7916 0.8305 0.5816
O 0.2930 0.1747 0.1747
O 0.3020 0.4283 0.9200
O 0.7102 0.0810 0.0810
Li 0.5643 0.6631 0.9244
Li 0.9369 0.9217 0.1748
Li 0.9368 0.6685 0.4198
Li 0.4262 0.3288 0.3288
Li 0.9368 0.4198 0.6685
Li 0.5643 0.9244 0.6631
Li 0.9369 0.1748 0.9217